VASP calculation (PBEsol) on a relaxed In2TeBr crystal.

Geometry as POSCAR:
```
In2TeBr
1.0
3.8133 0.1139 0.1148
-0.1955 5.3685 0.0191
-0.1955 -0.0250 5.3685
Te Br In
1 1 2
direct
0.5000 0.0000 0.0000 Te
0.5000 0.5000 0.5000 Br
0.0000 0.5000 0.0000 In
0.0000 0.0000 0.5000 In
```

Its symmetry is C2/m, No. 12. For the raw formation energy, the calculation gives -0.30 eV per atom.



VASP calculation (PBEsol) on a relaxed SiMoW4 crystal.

Geometry as POSCAR:
```
SiMoW4
1.0
-4.5135 -1.0610 -2.2948
-2.4147 -4.4682 0.9838
-4.3682 -0.0240 2.7714
Mo Si W
1 1 4
direct
0.7500 0.7500 0.7500 Mo
0.0000 0.0000 0.0000 Si
0.3749 0.3749 0.3749 W
0.3749 0.3749 0.8754 W
0.8754 0.3749 0.3749 W
0.3749 0.8754 0.3749 W
```

Its symmetry is F-43m, No. 216. For the raw formation energy, the calculation gives 0.58 eV per atom.



VASP calculation (PBEsol) on a relaxed Ti20Sb9Se3 crystal.

Geometry as POSCAR:
```
Ti20Sb9Se3
1.0
6.8744 0.0000 0.0000
0.0000 9.9628 0.0000
0.0000 0.0000 16.4625
Ti Sb Se
40 18 6
direct
0.7212 0.5042 0.2487 Ti
0.7212 0.5042 0.7513 Ti
0.5915 0.2104 0.5000 Ti
0.5766 0.2208 0.0000 Ti
0.5719 0.2255 0.2489 Ti
0.5719 0.2255 0.7511 Ti
0.5626 0.9477 0.5974 Ti
0.5626 0.9477 0.4026 Ti
0.5539 0.9489 0.1053 Ti
0.5539 0.9489 0.8947 Ti
0.4461 0.4489 0.3947 Ti
0.4374 0.4477 0.9026 Ti
0.4461 0.4489 0.6053 Ti
0.4374 0.4477 0.0974 Ti
0.4281 0.7255 0.2511 Ti
0.4281 0.7255 0.7489 Ti
0.4234 0.7208 0.5000 Ti
0.4085 0.7104 0.0000 Ti
0.2788 0.0042 0.2513 Ti
0.2788 0.0042 0.7487 Ti
0.2221 0.9962 0.5000 Ti
0.2387 0.9902 0.0000 Ti
0.0926 0.2915 0.2481 Ti
0.0926 0.2915 0.7519 Ti
0.0536 0.2576 0.5000 Ti
0.0728 0.2759 0.0000 Ti
0.0595 0.5505 0.1511 Ti
0.0603 0.5525 0.6593 Ti
0.0603 0.5525 0.3407 Ti
0.0595 0.5505 0.8489 Ti
0.9405 0.0505 0.3489 Ti
0.9397 0.0525 0.1593 Ti
0.9397 0.0525 0.8407 Ti
0.9405 0.0505 0.6511 Ti
0.9272 0.7759 0.5000 Ti
0.9464 0.7576 0.0000 Ti
0.9074 0.7915 0.2519 Ti
0.9074 0.7915 0.7481 Ti
0.7613 0.4902 0.5000 Ti
0.7779 0.4962 0.0000 Ti
0.6878 0.6768 0.6211 Sb
0.6878 0.6768 0.3789 Sb
0.6846 0.6796 0.1203 Sb
0.6846 0.6796 0.8797 Sb
0.3154 0.1796 0.3797 Sb
0.3122 0.1768 0.8789 Sb
0.3154 0.1796 0.6203 Sb
0.3122 0.1768 0.1211 Sb
0.1836 0.8218 0.1317 Sb
0.1857 0.8223 0.6290 Sb
0.1857 0.8223 0.3710 Sb
0.1836 0.8218 0.8683 Sb
0.1585 0.5234 0.5000 Sb
0.8415 0.0234 0.0000 Sb
0.8164 0.3218 0.3683 Sb
0.8143 0.3223 0.1290 Sb
0.8143 0.3223 0.8710 Sb
0.8164 0.3218 0.6317 Sb
0.6613 0.9785 0.2531 Se
0.6613 0.9785 0.7469 Se
0.3387 0.4785 0.2469 Se
0.3387 0.4785 0.7531 Se
0.1615 0.5259 0.0000 Se
0.8385 0.0259 0.5000 Se
```

Its symmetry is Pmn2_1, No. 31. For the raw formation energy, the calculation gives -0.66 eV per atom.



VASP calculation (PBEsol) on a relaxed V3Cu2TeP6O24 crystal.

Geometry as POSCAR:
```
V3Cu2TeP6O24
1.0
-3.1406 4.8423 6.3759
-7.4619 4.1504 -1.0275
-6.9401 -2.5065 4.2852
V Cu Te P O
3 2 1 6 24
direct
0.6431 0.6431 0.0706 V
0.8590 0.8590 0.4229 V
0.3587 0.3587 0.9238 V
0.9975 0.9975 0.0074 Cu
0.5020 0.5020 0.4939 Cu
0.1422 0.1422 0.5734 Te
0.9522 0.2510 0.2435 P
0.5534 0.9522 0.2435 P
0.2510 0.5534 0.2435 P
0.7383 0.4695 0.7514 P
0.4695 0.0408 0.7514 P
0.0408 0.7383 0.7514 P
0.4975 0.1225 0.0738 O
0.3061 0.4975 0.0738 O
0.1225 0.3061 0.0738 O
0.9462 0.0789 0.2347 O
0.9627 0.2013 0.4390 O
0.7562 0.4108 0.2456 O
0.7402 0.9462 0.2347 O
0.5875 0.7562 0.2456 O
0.8045 0.6261 0.5661 O
0.4108 0.5875 0.2456 O
0.9033 0.2751 0.7828 O
0.6261 0.0033 0.5661 O
0.3970 0.9627 0.4390 O
0.0789 0.7402 0.2347 O
0.5812 0.4424 0.7378 O
0.2013 0.3970 0.4390 O
0.4424 0.2387 0.7378 O
0.2751 0.0388 0.7828 O
0.2387 0.5812 0.7378 O
0.0033 0.8045 0.5661 O
0.0388 0.9033 0.7828 O
0.8846 0.6636 0.9280 O
0.6636 0.5238 0.9280 O
0.5238 0.8846 0.9280 O
```

Its symmetry is R3, No. 146. For the raw formation energy, the calculation gives -1.94 eV per atom.



| no. | calculated density (g/cm3) |
| --- | --- |
| 1 | 6.6 |
| 2 | 14.6 |
| 3 | 6.7 |
| 4 | 3.7 |